# 1
Entry from the Alexandria database: an optimized crystal structure of Y2Sn2P (PBE).

For the total energy, the calculation gives -29.907 eV per formula unit.

The space group is P4/mbm (No. 127) and the conventional cell measures 7.4362, 7.4362 and 4.7980 Å, with angles of 90.00, 90.00 and 90.00 degrees. The asymmetric unit holds Y at (0.1727, 0.3273, 0.0000), Sn at (0.1394, 0.6394, 0.5000) and P at (0.0000, 0.0000, 0.0000).

***

# 2
Entry from the Alexandria database: an optimized crystal structure of YZr2SnP (PBE).

For the total energy, the calculation gives -34.037 eV per formula unit.

The space group is P4/mmm (No. 123) and the conventional cell measures 4.8952, 4.8952 and 5.4100 Å, with angles of 90.00, 90.00 and 90.00 degrees. The asymmetric unit holds Y at (0.0000, 0.0000, 0.0000), Zr at (0.0000, 0.5000, 0.5000), Sn at (0.5000, 0.5000, 0.0000) and P at (0.5000, 0.5000, 0.5000).

***

# 3
Entry from the Alexandria database: an optimized crystal structure of ZnSn2P3 (PBE).

For the total energy, the calculation gives -25.664 eV per formula unit.

The space group is Cc (No. 9) and the conventional cell measures 7.0130, 12.2593 and 7.5031 Å, with angles of 90.00, 111.45 and 90.00 degrees. The asymmetric unit holds Zn at (0.0000, 0.0814, 0.0000), Sn at (0.0036, 0.2400, 0.5033), Sn at (0.0124, 0.4172, 0.9918), P at (0.3722, 0.0851, 0.1152), P at (0.3983, 0.2564, 0.6294) and P at (0.4035, 0.4303, 0.1551).

***

# 4
Entry from the Alexandria database: an optimized crystal structure of Zn3SnP (PBE).

The polymorph energy (0 for the lowest one) comes out at 532 meV/atom.

The space group is Pm-3m (No. 221) and the conventional cell measures 5.1232, 5.1232 and 5.1232 Å, with angles of 90.00, 90.00 and 90.00 degrees. The asymmetric unit holds Zn at (0.0000, 0.0000, 0.5000), Sn at (0.0000, 0.0000, 0.0000) and P at (0.5000, 0.5000, 0.5000).

***

# 5
Entry from the Alexandria database: an optimized crystal structure of Zn3SnP (PBE).

The polymorph energy (0 for the lowest one) comes out at 0 meV/atom.

The space group is Pm-3m (No. 221) and the conventional cell measures 4.7408, 4.7408 and 4.7408 Å, with angles of 90.00, 90.00 and 90.00 degrees. The asymmetric unit holds Zn at (0.0000, 0.0000, 0.5000), Sn at (0.5000, 0.5000, 0.5000) and P at (0.0000, 0.0000, 0.0000).

***

# 6
Entry from the Alexandria database: an optimized crystal structure of ZnSnP2 (PBE).

The polymorph energy (0 for the lowest one) comes out at 0 meV/atom.

The space group is I-42d (No. 122) and the conventional cell measures 5.7000, 5.7000 and 11.4245 Å, with angles of 90.00, 90.00 and 90.00 degrees. The asymmetric unit holds Zn at (0.0000, 0.0000, 0.0000), Sn at (0.0000, 0.0000, 0.5000) and P at (0.2282, 0.2500, 0.1250).

***

| no. | total magnetization (μB/f.u.) |
| --- | --- |
| 1 | 0.000 |
| 2 | 0.000 |
| 3 | 0.000 |
| 4 | 1.455 |
| 5 | 0.000 |
| 6 | 0.000 |